# 1
Material: AcY8Er6
Method: DFT, PBE
State: relaxed

The structure belongs to space group P-3 (No. 147); the cell edges are 9.5257, 9.5257 and 6.4767 Å and the angles 90.00°, 90.00° and 120.00°. The distinct sites, in fractional coordinates, are Ac at (0.0000, 0.0000, 0.0000), Y at (0.0273, 0.6860, 0.5912), Y at (0.3333, 0.6667, 0.3322) and Er at (0.1017, 0.4231, 0.9110).

The crystal system is trigonal. For the formation energy, the calculation gives 3.4 eV/f.u.

***

# 2
Material: AcY3Er
Method: DFT, PBE
State: relaxed

The structure belongs to space group C2/c (No. 15); the cell edges are 9.296, 15.720 and 9.670 Å and the angles 90.00°, 90.08° and 90.00°. The distinct sites, in fractional coordinates, are Ac at (0.000, 0.003, 0.250), Ac at (0.000, 0.428, 0.750), Y at (0.001, 0.221, 0.568), Y at (0.180, 0.396, 0.426), Y at (0.188, 0.203, 0.249) and Er at (0.190, 0.396, 0.067).

As for the offset from the most stable computed form: 0.000 eV/atom. The crystal system is monoclinic. For the formation energy, the calculation gives 0.7 eV/f.u.

***

# 3
Material: AcY8Er4
Method: DFT, PBE
State: relaxed

The structure belongs to space group R-3m (No. 166, hexagonal axes); the cell edges are 6.9438, 6.9438 and 32.0329 Å and the angles 90.00°, 90.00° and 120.00°. The distinct sites, in fractional coordinates, are Ac at (0.0000, 0.0000, 0.0000), Y at (0.0000, 0.0000, 0.2957), Y at (0.0105, 0.5052, 0.2525), Er at (0.0000, 0.0000, 0.5000) and Er at (0.0000, 0.5000, 0.5000).

The crystal system is trigonal. For the formation energy, the calculation gives 3.7 eV/f.u.

***

# 4
Material: AcYEr
Method: DFT, PBE
State: relaxed

The structure belongs to space group P3m1 (No. 156); the cell edges are 5.8542, 5.8542 and 3.5912 Å and the angles 90.00°, 90.00° and 120.00°. The distinct sites, in fractional coordinates, are Ac at (0.0000, 0.0000, 0.0000), Y at (0.3333, 0.6667, 0.4994) and Er at (0.6667, 0.3333, 0.9975).

As for the offset from the most stable computed form: 0.076 eV/atom. The crystal system is trigonal. For the formation energy, the calculation gives 0.4 eV/f.u.

***

# 5
Material: Ac2Y3Er2
Method: DFT, PBE
State: relaxed

The structure belongs to space group C2/m (No. 12); the cell edges are 12.934, 3.827 and 10.078 Å and the angles 90.00°, 95.08° and 90.00°. The distinct sites, in fractional coordinates, are Ac at (0.227, 0.000, 0.168), Y at (0.000, 0.500, 0.000), Y at (0.138, 0.500, 0.475) and Er at (0.034, 0.000, 0.720).

The crystal system is monoclinic. For the formation energy, the calculation gives 0.5 eV/f.u.

***

# 6
Material: Ac2Y2Er15
Method: DFT, PBE
State: relaxed

The structure belongs to space group R-3m (No. 166, hexagonal axes); the cell edges are 11.2565, 11.2565 and 17.5198 Å and the angles 90.00°, 90.00° and 120.00°. The distinct sites, in fractional coordinates, are Ac at (0.0000, 0.0000, 0.1127), Y at (0.0000, 0.0000, 0.3317), Er at (0.0000, 0.3088, 0.0000), Er at (0.0000, 0.5000, 0.5000) and Er at (0.0158, 0.5079, 0.1393).

The crystal system is trigonal. For the formation energy, the calculation gives 5.4 eV/f.u.

***

# 7
Material: Ac2Y12Er5
Method: DFT, PBE
State: relaxed

The structure belongs to space group P-1 (No. 2); the cell edges are 7.122, 7.161 and 14.472 Å and the angles 92.23°, 96.91° and 118.58°. The distinct sites, in fractional coordinates, are Ac at (0.247, 0.247, 0.497), Y at (0.007, 0.862, 0.295), Y at (0.009, 0.367, 0.285), Y at (0.114, 0.122, 0.103), Y at (0.403, 0.353, 0.904), Y at (0.486, 0.632, 0.703), Y at (0.490, 0.127, 0.706), Er at (0.000, 0.500, 0.000), Er at (0.248, 0.748, 0.497) and Er at (0.402, 0.856, 0.899).

The crystal system is triclinic. For the formation energy, the calculation gives 2.7 eV/f.u.

***

# 8
Material: AcY12Er2
Method: DFT, PBE
State: relaxed

The structure belongs to space group P4/nbm (No. 125, origin choice 2); the cell edges are 6.422, 6.422 and 25.593 Å and the angles 90.00°, 90.00° and 90.00°. The distinct sites, in fractional coordinates, are Ac at (0.250, 0.750, 0.000), Y at (0.069, 0.569, 0.123), Y at (0.081, 0.581, 0.440), Y at (0.250, 0.250, 0.221), Y at (0.250, 0.250, 0.342) and Er at (0.250, 0.750, 0.280).

The crystal system is tetragonal. For the formation energy, the calculation gives 4.7 eV/f.u.

***

Record-wise magnetization values, in μB/atom: 0.000 0.000 0.000 0.000 0.000 0.000 0.000 0.000